## Th2CdPt (GGA-PBE)

Data for a relaxed structure of Th2CdPt.

Cell and atoms, written as POSCAR:
```
Th2CdPt
1.0
-0.183 3.643 -0.551
-3.188 0.119 1.852
3.850 1.185 6.553
Th Cd Pt
2 1 1
direct
0.000 0.000 0.221 Th
0.000 0.000 0.779 Th
0.500 0.500 0.500 Cd
0.500 0.500 0.000 Pt
```

E_tot ... -6.00 eV/atom
ρ ... 12.2 g/cm³
ΔE to the lowest computed polymorph ... 0.0 meV per atom
Formation energy ... -0.5485 eV/atom


## ThCdPt2 (GGA-PBE)

Data for a relaxed structure of ThCdPt2.

Cell and atoms, written as POSCAR:
```
ThCdPt2
1.0
3.550 0.000 0.000
0.000 3.550 0.000
0.000 0.000 6.703
Cd Th Pt
1 1 2
direct
0.500 0.500 0.000 Cd
0.500 0.500 0.500 Th
0.000 0.000 0.767 Pt
0.000 0.000 0.233 Pt
```

E_tot ... -5.87 eV/atom
ρ ... 14.4 g/cm³
Formation energy ... -0.7669 eV/atom


## Th2CdPt (GGA-PBE)

Data for a relaxed structure of Th2CdPt.

Cell and atoms, written as POSCAR:
```
Th2CdPt
1.0
-0.877 2.329 -2.916
0.675 -1.108 -3.607
-9.692 -3.840 -2.672
Th Pt Cd
2 1 1
direct
0.108 0.108 0.677 Th
0.892 0.892 0.323 Th
0.500 0.500 0.500 Pt
0.000 0.000 0.000 Cd
```

E_tot ... -5.62 eV/atom
ρ ... 9.6 g/cm³
ΔE to the lowest computed polymorph ... 377.2 meV per atom
Formation energy ... -0.1713 eV/atom


## Th3CdPt (GGA-PBE)

Data for a relaxed structure of Th3CdPt.

Cell and atoms, written as POSCAR:
```
Th3CdPt
1.0
5.789 -1.057 0.000
-2.413 7.370 0.000
0.000 0.000 7.233
Th Pt Cd
6 2 2
direct
0.102 0.315 0.474 Th
0.503 0.846 0.250 Th
0.497 0.154 0.750 Th
0.898 0.685 0.974 Th
0.102 0.315 0.026 Th
0.898 0.685 0.526 Th
0.084 0.977 0.250 Pt
0.916 0.023 0.750 Pt
0.405 0.700 0.750 Cd
0.595 0.300 0.250 Cd
```

E_tot ... -6.21 eV/atom
ρ ... 11.5 g/cm³
Formation energy ... -0.3623 eV/atom


## ThCdPt6 (GGA-PBE)

Data for a relaxed structure of ThCdPt6.

Cell and atoms, written as POSCAR:
```
ThCdPt6
1.0
4.177 0.000 0.000
0.000 4.177 0.000
0.000 0.000 8.155
Pt Cd Th
6 1 1
direct
0.500 0.500 0.500 Pt
0.500 0.000 0.260 Pt
0.000 0.500 0.260 Pt
0.500 0.000 0.740 Pt
0.000 0.500 0.740 Pt
0.500 0.500 0.000 Pt
0.000 0.000 0.500 Cd
0.000 0.000 0.000 Th
```

E_tot ... -6.24 eV/atom
ρ ... 17.7 g/cm³
Formation energy ... -0.6697 eV/atom


## YThCdPt (GGA-PBE)

Data for a relaxed structure of YThCdPt.

Cell and atoms, written as POSCAR:
```
YThCdPt
1.0
-2.447 -0.627 4.547
2.471 -2.229 3.998
1.391 2.857 4.117
Y Pt Cd Th
1 1 1 1
direct
0.500 0.500 0.500 Y
0.750 0.750 0.750 Pt
0.250 0.250 0.250 Cd
0.000 0.000 0.000 Th
```

E_tot ... -5.78 eV/atom
ρ ... 10.5 g/cm³
Formation energy ... -0.5717 eV/atom


## Th2Zn2CdPt5 (GGA-PBE)

Data for a relaxed structure of Th2Zn2CdPt5.

Cell and atoms, written as POSCAR:
```
Th2Zn2CdPt5
1.0
-2.685 0.952 -2.601
-7.128 -2.717 6.365
-0.260 9.236 3.651
Pt Th Zn Cd
10 4 4 2
direct
0.500 0.288 0.564 Pt
0.500 0.000 0.500 Pt
0.500 0.712 0.436 Pt
0.500 0.936 0.212 Pt
0.500 0.064 0.788 Pt
0.500 0.436 0.288 Pt
0.500 0.500 0.000 Pt
0.500 0.788 0.936 Pt
0.500 0.564 0.712 Pt
0.500 0.212 0.064 Pt
0.000 0.180 0.320 Th
0.000 0.820 0.680 Th
0.000 0.320 0.820 Th
0.000 0.680 0.180 Th
0.000 0.618 0.882 Zn
0.000 0.882 0.382 Zn
0.000 0.118 0.618 Zn
0.000 0.382 0.118 Zn
0.000 0.500 0.500 Cd
0.000 0.000 0.000 Cd
```

E_tot ... -5.56 eV/atom
ρ ... 14.7 g/cm³
Formation energy ... -0.7097 eV/atom


## TiCd2Pt9 (GGA-PBE)

Data for a relaxed structure of TiCd2Pt9.

Cell and atoms, written as POSCAR:
```
TiCd2Pt9
1.0
3.994 0.000 0.000
0.000 3.994 0.000
0.000 0.000 12.109
Pt Ti Cd
9 1 2
direct
0.000 0.500 0.500 Pt
0.500 0.500 0.672 Pt
0.500 0.500 0.328 Pt
0.000 0.500 0.844 Pt
0.000 0.500 0.156 Pt
0.500 0.000 0.500 Pt
0.500 0.500 0.000 Pt
0.500 0.000 0.156 Pt
0.500 0.000 0.844 Pt
0.000 0.000 0.000 Ti
0.000 0.000 0.669 Cd
0.000 0.000 0.331 Cd
```

E_tot ... -5.79 eV/atom
ρ ... 17.4 g/cm³
Formation energy ... -0.4456 eV/atom


## Ti2CdPt9 (GGA-PBE)

Data for a relaxed structure of Ti2CdPt9.

Cell and atoms, written as POSCAR:
```
Ti2CdPt9
1.0
3.973 0.000 0.000
0.000 3.973 0.000
0.000 0.000 11.955
Pt Ti Cd
9 2 1
direct
0.500 0.000 0.178 Pt
0.500 0.500 0.338 Pt
0.500 0.500 0.662 Pt
0.000 0.500 0.822 Pt
0.000 0.500 0.178 Pt
0.500 0.000 0.822 Pt
0.500 0.000 0.500 Pt
0.000 0.500 0.500 Pt
0.500 0.500 0.000 Pt
0.000 0.000 0.330 Ti
0.000 0.000 0.670 Ti
0.000 0.000 0.000 Cd
```

E_tot ... -6.62 eV/atom
ρ ... 17.3 g/cm³
Formation energy ... -0.6940 eV/atom


## TiCdPt2 (GGA-PBE)

Data for a relaxed structure of TiCdPt2.

Cell and atoms, written as POSCAR:
```
TiCdPt2
1.0
2.943 0.000 0.000
0.000 4.783 0.000
0.000 0.000 4.783
Ti Pt Cd
1 2 1
direct
0.500 0.000 0.000 Ti
0.000 0.000 0.500 Pt
0.000 0.500 0.000 Pt
0.500 0.500 0.500 Cd
```

E_tot ... -5.74 eV/atom
ρ ... 13.6 g/cm³
Formation energy ... -0.5201 eV/atom


## TiCdPt2 (GGA-PBE)

Data for a relaxed structure of TiCdPt2.

Cell and atoms, written as POSCAR:
```
TiCdPt2
1.0
2.908 0.000 0.000
0.000 6.718 0.000
0.000 0.000 6.956
Ti Pt Cd
2 4 2
direct
0.000 0.750 0.979 Ti
0.000 0.250 0.021 Ti
0.500 0.019 0.783 Pt
0.500 0.481 0.783 Pt
0.500 0.519 0.217 Pt
0.500 0.981 0.217 Pt
0.000 0.250 0.487 Cd
0.000 0.750 0.513 Cd
```

E_tot ... -5.92 eV/atom
ρ ... 13.5 g/cm³
Formation energy ... -0.6985 eV/atom


## Ti2CdPt (GGA-PBE)

Data for a relaxed structure of Ti2CdPt.

Cell and atoms, written as POSCAR:
```
Ti2CdPt
1.0
7.470 0.000 0.000
0.000 7.470 0.000
3.735 3.735 2.749
Cd Pt Ti
2 2 4
direct
0.250 0.750 0.500 Cd
0.500 0.500 0.000 Cd
0.750 0.250 0.500 Pt
0.000 0.000 0.000 Pt
0.079 0.625 0.250 Ti
0.875 0.921 0.750 Ti
0.671 0.125 0.250 Ti
0.375 0.329 0.750 Ti
```

E_tot ... -5.77 eV/atom
ρ ... 8.7 g/cm³
Formation energy ... -0.0787 eV/atom


## TiCd2Pt2 (GGA-PBE)

Data for a relaxed structure of TiCd2Pt2.

Cell and atoms, written as POSCAR:
```
TiCd2Pt2
1.0
6.660 0.000 0.000
0.000 6.660 0.000
0.000 0.000 4.260
Pt Ti Cd
4 2 4
direct
0.359 0.859 0.000 Pt
0.141 0.359 0.000 Pt
0.641 0.141 0.000 Pt
0.859 0.641 0.000 Pt
0.500 0.500 0.000 Ti
0.000 0.000 0.000 Ti
0.833 0.333 0.500 Cd
0.333 0.167 0.500 Cd
0.667 0.833 0.500 Cd
0.167 0.667 0.500 Cd
```

E_tot ... -4.73 eV/atom
ρ ... 11.7 g/cm³
ΔE to the lowest computed polymorph ... 0.0 meV per atom
Formation energy ... -0.3724 eV/atom


## TiCdPt2 (GGA-PBE)

Data for a relaxed structure of TiCdPt2.

Cell and atoms, written as POSCAR:
```
TiCdPt2
1.0
3.116 0.000 0.000
1.558 2.698 0.000
1.558 0.899 8.424
Pt Ti Cd
2 1 1
direct
0.740 0.740 0.780 Pt
0.260 0.260 0.220 Pt
0.000 0.000 0.000 Ti
0.500 0.500 0.500 Cd
```

E_tot ... -5.72 eV/atom
ρ ... 12.9 g/cm³
Formation energy ... -0.4968 eV/atom


## Ti3CdPt (GGA-PBE)

Data for a relaxed structure of Ti3CdPt.

Cell and atoms, written as POSCAR:
```
Ti3CdPt
1.0
4.824 0.000 0.000
0.000 4.824 0.000
0.000 0.000 4.824
Ti Cd Pt
3 1 1
direct
0.500 0.000 0.000 Ti
0.000 0.500 0.000 Ti
0.000 0.000 0.500 Ti
0.500 0.500 0.500 Cd
0.000 0.000 0.000 Pt
```

E_tot ... -5.86 eV/atom
ρ ... 6.7 g/cm³
ΔE to the lowest computed polymorph ... 0.0 meV per atom
Formation energy ... 0.2693 eV/atom


## Ti2CdPt (GGA-PBE)

Data for a relaxed structure of Ti2CdPt.

Cell and atoms, written as POSCAR:
```
Ti2CdPt
1.0
3.257 0.000 0.000
0.000 3.257 0.000
0.000 0.000 6.578
Pt Ti Cd
1 2 1
direct
0.500 0.500 0.000 Pt
0.000 0.000 0.777 Ti
0.000 0.000 0.223 Ti
0.500 0.500 0.500 Cd
```

E_tot ... -6.07 eV/atom
ρ ... 9.6 g/cm³
Formation energy ... -0.3797 eV/atom


## TiCd2Pt2 (GGA-PBE)

Data for a relaxed structure of TiCd2Pt2.

Cell and atoms, written as POSCAR:
```
TiCd2Pt2
1.0
7.919 0.000 0.000
0.000 7.919 0.000
0.000 0.000 2.914
Pt Cd Ti
4 4 2
direct
0.176 0.676 0.500 Pt
0.324 0.176 0.500 Pt
0.676 0.824 0.500 Pt
0.824 0.324 0.500 Pt
0.376 0.876 0.000 Cd
0.624 0.124 0.000 Cd
0.124 0.376 0.000 Cd
0.876 0.624 0.000 Cd
0.500 0.500 0.000 Ti
0.000 0.000 0.000 Ti
```

E_tot ... -4.51 eV/atom
ρ ... 12.0 g/cm³
ΔE to the lowest computed polymorph ... 219.3 meV per atom
Formation energy ... -0.1531 eV/atom


## TiCd2Pt (GGA-PBE)

Data for a relaxed structure of TiCd2Pt.

Cell and atoms, written as POSCAR:
```
TiCd2Pt
1.0
7.822 0.000 0.000
0.000 7.822 0.000
3.911 3.911 2.686
Cd Pt Ti
4 2 2
direct
0.875 0.897 0.750 Cd
0.647 0.125 0.250 Cd
0.103 0.625 0.250 Cd
0.375 0.353 0.750 Cd
0.750 0.250 0.500 Pt
0.000 0.000 0.000 Pt
0.250 0.750 0.500 Ti
0.500 0.500 0.000 Ti
```

E_tot ... -3.81 eV/atom
ρ ... 9.5 g/cm³
ΔE to the lowest computed polymorph ... 297.2 meV per atom
Formation energy ... 0.1324 eV/atom


## Ti3CdPt (GGA-PBE)

Data for a relaxed structure of Ti3CdPt.

Cell and atoms, written as POSCAR:
```
Ti3CdPt
1.0
-4.538 1.629 -0.635
-1.550 -4.566 -0.637
-0.810 -0.392 4.779
Pt Ti Cd
1 3 1
direct
0.500 0.500 0.500 Pt
0.000 0.000 0.500 Ti
0.500 0.000 0.000 Ti
0.000 0.500 0.000 Ti
0.000 0.000 0.000 Cd
```

E_tot ... -4.84 eV/atom
ρ ... 6.5 g/cm³
ΔE to the lowest computed polymorph ... 1018.1 meV per atom
Formation energy ... 1.2875 eV/atom


## Ti2CdPt (GGA-PBE)

Data for a relaxed structure of Ti2CdPt.

Cell and atoms, written as POSCAR:
```
Ti2CdPt
1.0
4.048 0.000 0.000
0.000 4.092 0.000
0.000 0.000 4.092
Ti Cd Pt
2 1 1
direct
0.000 0.500 0.000 Ti
0.000 0.000 0.500 Ti
0.500 0.000 0.000 Cd
0.500 0.500 0.500 Pt
```

E_tot ... -6.06 eV/atom
ρ ... 9.9 g/cm³
Formation energy ... -0.3717 eV/atom